Entry 1:
Crystalline NpFeTc at its relaxed geometry, computed with GGA-PBE.

a b c (Å): 4.2048 4.2048 4.2048
angles (deg): 60.00 60.00 60.00
Last column: nearest neighbours and their distance in Å.
Fractional positions:
Np 0.0000 0.0000 0.0000  4 Fe 2.57, 4 Tc 2.57
Fe 0.7500 0.7500 0.7500  4 Np 2.57
Tc 0.2500 0.2500 0.2500  4 Np 2.57

Summary:
Space-group type: F-43m

Entry 2:
Crystalline TmNpFe at its relaxed geometry, computed with GGA-PBE.

a b c (Å): 4.4512 4.4512 4.4512
angles (deg): 60.00 60.00 60.00
Last column: nearest neighbours and their distance in Å.
Fractional positions:
Tm 0.0000 0.0000 0.0000  4 Fe 2.73
Np 0.5000 0.5000 0.5000  4 Fe 2.73
Fe 0.7500 0.7500 0.7500  4 Tm 2.73, 4 Np 2.73

Summary:
Space-group type: F-43m

Entry 3:
Crystalline NpFeW at its relaxed geometry, computed with GGA-PBE.

a b c (Å): 4.2196 4.2196 4.2196
angles (deg): 60.00 60.00 60.00
Last column: nearest neighbours and their distance in Å.
Fractional positions:
Np 0.0000 0.0000 0.0000  4 Fe 2.58
Fe 0.7500 0.7500 0.7500  4 Np 2.58, 4 W 2.58
W 0.5000 0.5000 0.5000  4 Fe 2.58

Summary:
Space-group type: F-43m

Entry 4:
Crystalline NpZnFe at its relaxed geometry, computed with GGA-PBE.

a b c (Å): 4.2169 4.2169 4.2169
angles (deg): 60.00 60.00 60.00
Last column: nearest neighbours and their distance in Å.
Fractional positions:
Np 0.0000 0.0000 0.0000  4 Fe 2.58
Zn 0.5000 0.5000 0.5000  4 Fe 2.58
Fe 0.7500 0.7500 0.7500  4 Np 2.58, 4 Zn 2.58

Summary:
Space-group type: F-43m

Entry 5:
Crystalline FeOs2 at its relaxed geometry, computed with GGA-PBE.

a b c (Å): 5.0377 5.0377 8.1714
angles (deg): 90.00 90.00 120.00
Last column: nearest neighbours and their distance in Å.
Fractional positions:
Fe 0.3333 0.6667 0.1018  1 Fe 2.42
Fe 0.3333 0.6667 0.3982  1 Fe 2.42
Fe 0.6667 0.3333 0.6018  1 Fe 2.42
Fe 0.6667 0.3333 0.8982  1 Fe 2.42
Os 0.0000 0.0000 0.0000  6 Os 2.54
Os 0.0000 0.0000 0.5000  6 Os 2.54
Os 0.1737 0.3473 0.7500  6 Os 2.41-2.62
Os 0.1737 0.8263 0.7500  6 Os 2.41-2.62
Os 0.3473 0.1737 0.2500  6 Os 2.41-2.62
Os 0.6527 0.8263 0.7500  6 Os 2.41-2.62
Os 0.8263 0.1737 0.2500  6 Os 2.41-2.62
Os 0.8263 0.6527 0.2500  6 Os 2.41-2.62

Summary:
Space-group type: P6_3/mmc

Entry 6:
Crystalline Fe3Os at its relaxed geometry, computed with GGA-PBE.

a b c (Å): 4.4147 4.4147 4.4147
angles (deg): 132.14 132.14 70.01
Last column: nearest neighbours and their distance in Å.
Fractional positions:
Fe 0.0000 0.0000 0.0000  4 Os 2.53, 8 Fe 2.54
Fe 0.2500 0.7500 0.5000  8 Fe 2.53-2.54, 4 Os 2.54
Fe 0.7500 0.2500 0.5000  8 Fe 2.53-2.54, 4 Os 2.54
Os 0.5000 0.5000 0.0000  12 Fe 2.53-2.54

Summary:
Space-group type: I4/mmm

Entry 7:
Crystalline Fe2Os at its relaxed geometry, computed with GGA-PBE.

a b c (Å): 5.2103 5.2103 3.7809
angles (deg): 90.00 90.00 90.00
Last column: nearest neighbours and their distance in Å.
Fractional positions:
Fe 0.1886 0.1886 0.0000  3 Os 2.29-2.35
Fe 0.3114 0.6886 0.5000  3 Os 2.29-2.35
Fe 0.6886 0.3114 0.5000  3 Os 2.29-2.35
Fe 0.8114 0.8114 0.0000  3 Os 2.29-2.35
Os 0.0000 0.0000 0.5000  6 Fe 2.29-2.35
Os 0.5000 0.5000 0.0000  6 Fe 2.29-2.35

Summary:
Space-group type: P4_2/mnm

Entry 8:
Crystalline Fe2Os3 at its relaxed geometry, computed with GGA-PBE.

a b c (Å): 5.3930 5.3930 5.3930
angles (deg): 70.27 70.27 70.27
Last column: nearest neighbours and their distance in Å.
Fractional positions:
Fe 0.0922 0.0922 0.0922  1 Fe 2.23, 6 Os 2.34-2.49
Fe 0.4078 0.4078 0.4078  1 Fe 2.23, 6 Os 2.34-2.49
Fe 0.5922 0.5922 0.5922  1 Fe 2.23, 6 Os 2.34-2.49
Fe 0.9078 0.9078 0.9078  1 Fe 2.23, 6 Os 2.34-2.49
Os 0.0082 0.7500 0.4918  4 Fe 2.34-2.49
Os 0.2500 0.5082 0.9918  4 Fe 2.34-2.49
Os 0.4918 0.0082 0.7500  4 Fe 2.34-2.49
Os 0.5082 0.9918 0.2500  4 Fe 2.34-2.49
Os 0.7500 0.4918 0.0082  4 Fe 2.34-2.49
Os 0.9918 0.2500 0.5082  4 Fe 2.34-2.49

Summary:
Space-group type: R-3c

The calculation returns the following calculated formation energy values, one per record and in order: 0.78 0.71 0.76 0.33 0.64 0.13 1.46 0.70 eV/atom.
The calculation returns the following total magnetic moment values, one per record and in order: 0.0 0.1 2.7 2.9 10.6 4.1 8.2 2.9 μB per cell.